Below is a relaxed AcMoH2O6 crystal, with properties calculated at the PBE with a Hubbard U level.

Energy, eV/atom: -6.49
Fermi-level density of states, states/eV/f.u.: 0.2
Magnetization, μB per cell: 0.00

Geometry as extended XYZ:
```
10
Lattice="4.707 0.000 0.000 2.082 4.797 0.000 1.420 1.497 5.365" Properties=species:S:1:pos:R:3 pbc="T T T"
Ac 0.000 0.000 0.000
Mo 4.088 3.144 2.729
H 1.413 2.031 1.825
H 5.851 5.331 3.783
O 3.084 3.974 4.141
O 2.622 2.847 1.684
O 3.688 1.463 4.116
O 4.779 4.408 1.655
O 5.414 3.587 4.177
O 5.185 1.629 1.978
```